VASP calculation (PBE+U) on NaPuFeF6 after structural relaxation.

POSCAR file:
```
NaPuFeF6
1.0
-5.3976 0.6346 2.2432
1.2266 -4.5979 -3.4530
2.5305 -4.9494 7.4893
Pu F Fe Na
2 12 2 2
direct
0.3333 0.6667 0.7500
0.6667 0.3333 0.2500
0.3617 0.0260 0.6328
0.9740 0.6383 0.8672
0.0260 0.3617 0.1328
0.6644 0.0260 0.8672
0.6383 0.9740 0.3672
0.0260 0.6644 0.3672
0.3356 0.9740 0.1328
0.3356 0.3617 0.3672
0.6383 0.6644 0.1328
0.3617 0.3356 0.8672
0.9740 0.3356 0.6328
0.6644 0.6383 0.6328
0.6667 0.3333 0.7500
0.3333 0.6667 0.2500
0.0000 0.0000 0.0000
0.0000 0.0000 0.5000
```

Results
The density of states at the Fermi level is 26.36 states/eV/cell. As for the electronic total energy: -6.47 eV/atom.